1.
## Nd2Zn6Ge3 (PBE)

Data for crystalline Nd2Zn6Ge3 at its relaxed geometry.

Cell lengths 7.663, 7.663, 4.110 Å; angles 90.00, 90.00, 120.00 degrees
Atoms (fractional coordinates):
Zn 0.190 0.000 0.000
Zn 0.000 0.190 0.000
Zn 0.000 0.713 0.500
Zn 0.287 0.287 0.500
Zn 0.713 0.000 0.500
Zn 0.810 0.810 0.000
Ge 0.383 0.000 0.500
Ge 0.617 0.617 0.500
Ge 0.000 0.383 0.500
Nd 0.333 0.667 0.000
Nd 0.667 0.333 0.000

Summary:
The energy of formation from the pure elements comes out at -0.416 eV/atom. The calculation puts the total magnetization at 0.00 μB/cell. The crystal system is hexagonal. The energy is -3.24 eV per atom.



2.
## La5Nd4Y2 (PBE)

Data for crystalline La5Nd4Y2 at its relaxed geometry.

Cell lengths 3.575, 9.550, 12.938 Å; angles 111.66, 97.94, 90.00 degrees
Atoms (fractional coordinates):
La 0.500 0.000 0.000
La 0.150 0.945 0.299
La 0.150 0.354 0.299
La 0.850 0.646 0.701
La 0.850 0.055 0.701
Nd 0.000 0.301 0.000
Nd 0.596 0.596 0.192
Nd 0.000 0.699 0.000
Nd 0.404 0.404 0.808
Y 0.730 0.730 0.461
Y 0.270 0.270 0.539

Summary:
The energy of formation from the pure elements comes out at 0.199 eV/atom. The calculation puts the total magnetization at 0.00 μB/cell. The crystal system is orthorhombic. The energy above the most stable polymorph in this dataset comes out at 112 meV per atom. The energy is -4.95 eV per atom.



3.
## Nd7YHo4 (PBE)

Data for crystalline Nd7YHo4 at its relaxed geometry.

Cell lengths 7.299, 6.330, 11.584 Å; angles 79.54, 50.97, 90.02 degrees
Atoms (fractional coordinates):
Nd 0.917 0.720 0.335
Nd 0.745 0.501 0.002
Nd 0.500 0.000 0.000
Nd 0.255 0.499 0.998
Nd 0.083 0.280 0.665
Nd 0.335 0.778 0.665
Nd 0.665 0.222 0.335
Y 0.000 0.000 0.000
Ho 0.413 0.722 0.333
Ho 0.587 0.278 0.667
Ho 0.165 0.220 0.335
Ho 0.835 0.780 0.665

Summary:
The energy of formation from the pure elements comes out at 0.005 eV/atom. The calculation puts the total magnetization at 0.00 μB/cell. The crystal system is triclinic. The energy above the most stable polymorph in this dataset comes out at 0 meV per atom. The energy is -4.84 eV per atom.



4.
## LiPb3Br (PBE)

Data for crystalline LiPb3Br at its relaxed geometry.

Cell lengths 5.785, 5.785, 5.785 Å; angles 90.00, 90.00, 90.00 degrees
Atoms (fractional coordinates):
Br 0.000 0.000 0.000
Pb 0.000 0.000 0.500
Pb 0.500 0.000 0.000
Pb 0.000 0.500 0.000
Li 0.500 0.500 0.500

Summary:
The calculation puts the total magnetization at 0.00 μB/cell. The crystal system is cubic. The energy above the most stable polymorph in this dataset comes out at 296 meV per atom. The energy is -2.60 eV per atom.



5.
## TbAl2SiRu2 (PBE)

Data for crystalline TbAl2SiRu2 at its relaxed geometry.

Cell lengths 4.417, 4.417, 5.649 Å; angles 90.00, 90.00, 90.00 degrees
Atoms (fractional coordinates):
Ru 0.000 0.500 0.000
Ru 0.500 0.000 0.000
Si 0.000 0.000 0.000
Tb 0.000 0.000 0.500
Al 0.500 0.500 0.263
Al 0.500 0.500 0.737

Summary:
The calculation puts the total magnetization at 0.00 μB/cell. The crystal system is tetragonal. The energy is -6.47 eV per atom.



6.
## Cs2CdAs (PBE)

Data for crystalline Cs2CdAs at its relaxed geometry.

Cell lengths 11.930, 11.930, 11.930 Å; angles 146.30, 146.30, 48.40 degrees
Last column: magnetic moment on the atom in μB.
Atoms (fractional coordinates):
As 0.500 0.500 0.000  0.40
As 0.250 0.750 0.500  0.40
Cs 0.875 0.826 0.451  0.02
Cs 0.174 0.625 0.049  0.02
Cs 0.576 0.125 0.951  0.02
Cs 0.375 0.424 0.549  0.02
Cd 0.750 0.250 0.500  0.00
Cd 0.000 0.000 0.000  0.00

Summary:
The energy of formation from the pure elements comes out at 0.206 eV/atom. The calculation puts the total magnetization at 2.02 μB/cell. The crystal system is tetragonal. The energy above the most stable polymorph in this dataset comes out at 484 meV per atom. The energy is -1.61 eV per atom.



> Which formula does entry 2 have?

La5Nd4Y2